# ZnRe2Pt PBE-GGA optimized geometry
# Raw total energy: -7.957 eV per atom
# Size of the total moment: 0.0 μB per formula unit
data_ZnRe2Pt
_chemical_formula_sum 'Zn2 Re4 Pt2'
_cell_length_a 3.760
_cell_length_b 3.760
_cell_length_c 8.375
_cell_angle_alpha 90.00
_cell_angle_beta 90.00
_cell_angle_gamma 90.00
_space_group_name_H-M_alt 'I 4/m m m'
_space_group_IT_number 139
_space_group_name_Hall '-I 4 2'
loop_
_atom_site_label
_atom_site_fract_x
_atom_site_fract_y
_atom_site_fract_z
Zn1 0.000 0.000 0.000
Re1 0.000 0.500 0.250
Pt1 0.000 0.000 0.500

=====

# HfMnW3 PBE-GGA optimized geometry
# Raw total energy: -10.588 eV per atom
# Energy relative to the lowest polymorph listed for this composition: 0 meV per atom
# Size of the total moment: 0.0 μB per formula unit
data_HfMnW3
_chemical_formula_sum 'Hf1 Mn1 W3'
_cell_length_a 4.511
_cell_length_b 4.511
_cell_length_c 4.511
_cell_angle_alpha 90.00
_cell_angle_beta 90.00
_cell_angle_gamma 90.00
_space_group_name_H-M_alt 'P m -3 m'
_space_group_IT_number 221
_space_group_name_Hall '-P 4 2 3'
loop_
_atom_site_label
_atom_site_fract_x
_atom_site_fract_y
_atom_site_fract_z
Hf1 0.000 0.000 0.000
Mn1 0.500 0.500 0.500
W1 0.000 0.500 0.500

=====

# Sr4Ag2H PBE-GGA optimized geometry
# Raw total energy: -2.493 eV per atom
# Size of the total moment: 0.0 μB per formula unit
data_Sr4Ag2H
_chemical_formula_sum 'Sr8 Ag4 H2'
_cell_length_a 5.055
_cell_length_b 5.055
_cell_length_c 17.452
_cell_angle_alpha 90.00
_cell_angle_beta 90.00
_cell_angle_gamma 90.00
_space_group_name_H-M_alt 'I 4/m m m'
_space_group_IT_number 139
_space_group_name_Hall '-I 4 2'
loop_
_atom_site_label
_atom_site_fract_x
_atom_site_fract_y
_atom_site_fract_z
Sr1 0.000 0.000 0.182
Sr2 0.000 0.500 0.000
Ag1 0.000 0.000 0.372
H1 0.000 0.000 0.000

=====

These records have DOS at the Fermi energy values of 4.21, 6.33, 10.95 states/eV per cell, in the order they appear.